Entry from Alexandria: crystalline TiZn2N2 at its relaxed geometry (GGA-PBE).

Properties
E in eV/atom: -5.64
Total magnetic moment in μB per formula unit: 0.000

a b c (Å): 5.5256 5.5256 6.0226
angles (deg): 67.50 67.50 46.77
Fractional coordinates of all 10 atoms:
Zn  0.6713  0.6713  0.3845
Zn  0.0014  0.0014  0.2512
Zn  0.3287  0.3287  0.6155
Zn  0.9986  0.9986  0.7488
N  0.4869  0.4869  0.2418
N  0.5131  0.5131  0.7582
N  0.8362  0.8362  0.6147
N  0.1638  0.1638  0.3853
Ti  0.3452  0.3452  0.1116
Ti  0.6548  0.6548  0.8884


Entry from Alexandria: crystalline TiZnN3 at its relaxed geometry (GGA-PBE).

Properties
E in eV/atom: -6.10
Total magnetic moment in μB per formula unit: 1.819

a b c (Å): 3.9178 3.9178 3.9178
angles (deg): 90.00 90.00 90.00
Site moments in Bohr magnetons follow the coordinates.
Fractional coordinates of all 5 atoms:
N  0.5000  0.0000  0.0000  0.33
N  0.0000  0.5000  0.0000  0.52
N  0.0000  0.0000  0.5000  0.57
Zn  0.5000  0.5000  0.5000  -0.03
Ti  0.0000  0.0000  0.0000  -0.07


Entry from Alexandria: crystalline TiZnN2 at its relaxed geometry (GGA-PBE).

Properties
E in eV/atom: -7.09
Total magnetic moment in μB per formula unit: 0.000

a b c (Å): 6.0281 6.0281 6.0281
angles (deg): 30.03 30.03 30.03
Fractional coordinates of all 4 atoms:
Zn  0.0000  0.0000  0.0000
N  0.1060  0.1060  0.1060
N  0.8940  0.8940  0.8940
Ti  0.5000  0.5000  0.5000


Entry from Alexandria: crystalline Ti4ZnN at its relaxed geometry (GGA-PBE).

Properties
E in eV/atom: -7.28
Total magnetic moment in μB per formula unit: 0.000

a b c (Å): 4.7225 6.2411 7.3955
angles (deg): 116.45 90.00 90.00
Fractional coordinates of all 12 atoms:
Ti  0.7465  0.1848  0.8791
Ti  0.2535  0.8152  0.1209
Ti  0.2368  0.3778  0.7617
Ti  0.7368  0.1222  0.2383
Ti  0.2632  0.8778  0.7617
Ti  0.7632  0.6222  0.2383
Ti  0.2465  0.3152  0.1209
Ti  0.7535  0.6848  0.8791
N  0.5000  0.5000  0.0000
N  0.0000  0.0000  0.0000
Zn  0.0000  0.5000  0.5000
Zn  0.5000  0.0000  0.5000


Entry from Alexandria: crystalline TiZnN2 at its relaxed geometry (GGA-PBE).

Properties
E in eV/atom: -7.30
Total magnetic moment in μB per formula unit: 0.000

a b c (Å): 4.6179 4.6179 5.6494
angles (deg): 65.88 65.88 90.00
Fractional coordinates of all 8 atoms:
Ti  0.2500  0.7500  0.5000
Ti  0.5000  0.5000  0.0000
N  0.1495  0.6250  0.2500
N  0.3750  0.3995  0.7500
N  0.6005  0.1250  0.2500
N  0.8750  0.8505  0.7500
Zn  0.7500  0.2500  0.5000
Zn  0.0000  0.0000  0.0000


Entry from Alexandria: crystalline Ti2ZnN2 at its relaxed geometry (GGA-PBE).

Properties
E in eV/atom: -7.53
Total magnetic moment in μB per formula unit: 0.000

a b c (Å): 3.6695 3.6695 5.5117
angles (deg): 70.56 70.56 90.00
Fractional coordinates of all 5 atoms:
N  0.7500  0.2500  0.5000
N  0.2500  0.7500  0.5000
Zn  0.0000  0.0000  0.0000
Ti  0.3329  0.3329  0.3342
Ti  0.6671  0.6671  0.6658


Entry from Alexandria: crystalline Ti2ZnN2 at its relaxed geometry (GGA-PBE).

Properties
E in eV/atom: -6.99
Total magnetic moment in μB per formula unit: 0.001

a b c (Å): 6.2845 6.2845 2.7760
angles (deg): 90.00 90.00 90.00
Fractional coordinates of all 10 atoms:
N  0.1456  0.6456  0.5000
N  0.8544  0.3544  0.5000
N  0.6456  0.8544  0.5000
N  0.3544  0.1456  0.5000
Ti  0.8599  0.6401  0.0000
Ti  0.3599  0.8599  0.0000
Ti  0.1401  0.3599  0.0000
Ti  0.6401  0.1401  0.0000
Zn  0.5000  0.5000  0.0000
Zn  0.0000  0.0000  0.0000


Entry from Alexandria: crystalline Ti6Zn2N at its relaxed geometry (GGA-PBE).

Properties
E in eV/atom: -6.81
Total magnetic moment in μB per formula unit: 0.000

a b c (Å): 3.0507 7.1973 7.0443
angles (deg): 120.72 90.00 90.00
Fractional coordinates of all 9 atoms:
Zn  0.0000  0.6731  0.3473
Zn  0.0000  0.3258  0.6527
N  0.5000  0.0350  0.0000
Ti  0.5000  0.5803  0.0000
Ti  0.0000  0.7715  0.7811
Ti  0.0000  0.2407  0.0000
Ti  0.5000  0.0028  0.6223
Ti  0.0000  0.9904  0.2189
Ti  0.5000  0.3805  0.3777


Entry from Alexandria: crystalline Ti5ZnN at its relaxed geometry (GGA-PBE).

Properties
E in eV/atom: -7.52
Total magnetic moment in μB per formula unit: 0.001

a b c (Å): 5.4943 5.4943 8.8527
angles (deg): 66.25 66.25 61.98
Fractional coordinates of all 14 atoms:
N  0.0000  0.0000  0.0000
N  0.0000  0.0000  0.5000
Ti  0.9192  0.4214  0.4148
Ti  0.5786  0.0808  0.0851
Ti  0.0808  0.5786  0.5852
Ti  0.0000  0.0000  0.2500
Ti  0.4214  0.9189  0.4149
Ti  0.5786  0.0811  0.5851
Ti  0.4214  0.9192  0.9149
Ti  0.0000  0.0000  0.7500
Ti  0.0811  0.5786  0.0851
Ti  0.9189  0.4214  0.9149
Zn  0.5000  0.5000  0.2500
Zn  0.5000  0.5000  0.7500


Entry from Alexandria: crystalline TiZnN3 at its relaxed geometry (GGA-PBE).

Properties
E in eV/atom: -5.57
Total magnetic moment in μB per formula unit: 0.000

a b c (Å): 3.7267 3.7267 3.7267
angles (deg): 90.00 90.00 90.00
Fractional coordinates of all 5 atoms:
N  0.0000  0.5000  0.0000
N  0.0000  0.0000  0.5000
N  0.5000  0.0000  0.0000
Ti  0.5000  0.5000  0.5000
Zn  0.0000  0.0000  0.0000


Entry from Alexandria: crystalline Ti6ZnN at its relaxed geometry (GGA-PBE).

Properties
E in eV/atom: -7.58
Total magnetic moment in μB per formula unit: 0.000

a b c (Å): 4.7208 5.3916 5.2875
angles (deg): 81.02 90.41 67.98
Fractional coordinates of all 8 atoms:
Ti  0.9405  0.6539  0.2039
Ti  0.7869  0.9610  0.6741
Ti  0.2131  0.0390  0.3259
Ti  0.4049  0.7597  0.8875
Ti  0.5951  0.2403  0.1125
Ti  0.0595  0.3461  0.7961
Zn  0.5000  0.5000  0.5000
N  0.0000  0.0000  0.0000


Entry from Alexandria: crystalline Ti6Zn3N at its relaxed geometry (GGA-PBE).

Properties
E in eV/atom: -6.30
Total magnetic moment in μB per formula unit: 0.001

a b c (Å): 5.4892 5.8025 5.8025
angles (deg): 57.55 83.68 83.68
Fractional coordinates of all 10 atoms:
Ti  0.8443  0.3745  0.3745
Ti  0.6417  0.3805  0.8653
Ti  0.6417  0.8653  0.3805
Ti  0.1557  0.6255  0.6255
Ti  0.3583  0.1347  0.6195
Ti  0.3583  0.6195  0.1347
Zn  0.0000  0.0000  0.0000
Zn  0.7757  0.8252  0.8252
Zn  0.2243  0.1748  0.1748
N  0.5000  0.5000  0.5000


Entry from Alexandria: crystalline TiZn4N4 at its relaxed geometry (GGA-PBE).

Properties
E in eV/atom: -5.38
Total magnetic moment in μB per formula unit: 0.000

a b c (Å): 5.4918 5.5772 8.2901
angles (deg): 69.27 85.62 69.87
Fractional coordinates of all 18 atoms:
Zn  0.7534  0.0894  0.4311
Zn  0.7499  0.4997  0.5573
Zn  0.2466  0.9106  0.5689
Zn  0.2501  0.5003  0.4427
Zn  0.2125  0.8203  0.9679
Zn  0.7875  0.1797  0.0321
Zn  0.7059  0.6094  0.1954
Zn  0.2941  0.3906  0.8046
N  0.0484  0.2930  0.3871
N  0.9516  0.7070  0.6129
N  0.1581  0.1724  0.0080
N  0.4464  0.7701  0.3627
N  0.5612  0.3099  0.2005
N  0.5536  0.2299  0.6373
N  0.8419  0.8276  0.9920
N  0.4388  0.6901  0.7995
Ti  0.7058  0.8495  0.7768
Ti  0.2942  0.1505  0.2232


Entry from Alexandria: crystalline Ti4ZnN at its relaxed geometry (GGA-PBE).

Properties
E in eV/atom: -6.88
Total magnetic moment in μB per formula unit: 2.445

a b c (Å): 3.9408 3.9408 6.7764
angles (deg): 90.00 90.00 90.00
Site moments in Bohr magnetons follow the coordinates.
Fractional coordinates of all 6 atoms:
N  0.5000  0.5000  0.5000  -0.02
Ti  0.0000  0.5000  0.5000  0.27
Ti  0.5000  0.0000  0.5000  0.27
Ti  0.5000  0.5000  0.8113  0.71
Ti  0.5000  0.5000  0.1887  0.71
Zn  0.0000  0.0000  0.0000  0.00


Entry from Alexandria: crystalline TiZn4N4 at its relaxed geometry (GGA-PBE).

Properties
E in eV/atom: -5.39
Total magnetic moment in μB per formula unit: 0.000

a b c (Å): 5.7266 5.7266 6.6402
angles (deg): 90.00 90.00 95.70
Fractional coordinates of all 18 atoms:
Ti  0.3397  0.3397  0.7500
Ti  0.6603  0.6603  0.2500
N  0.6676  0.2632  0.7500
N  0.2632  0.6676  0.7500
N  0.2081  0.2081  0.0005
N  0.7368  0.3324  0.2500
N  0.3324  0.7368  0.2500
N  0.7919  0.7919  0.5005
N  0.7919  0.7919  0.9995
N  0.2081  0.2081  0.4995
Zn  0.8386  0.1614  0.0000
Zn  0.1288  0.4255  0.2500
Zn  0.8386  0.1614  0.5000
Zn  0.1614  0.8386  0.0000
Zn  0.5745  0.8712  0.7500
Zn  0.8712  0.5745  0.7500
Zn  0.4255  0.1288  0.2500
Zn  0.1614  0.8386  0.5000


Entry from Alexandria: crystalline Zr2TiN at its relaxed geometry (GGA-PBE).

Properties
E in eV/atom: -9.25
Total magnetic moment in μB per formula unit: 0.000

a b c (Å): 4.0993 6.6598 5.6633
angles (deg): 107.08 111.22 90.00
Fractional coordinates of all 8 atoms:
Ti  0.4999  0.2500  0.0000
Ti  0.5001  0.7500  0.0000
Zr  0.1532  0.0766  0.3065
Zr  0.1533  0.5766  0.3065
Zr  0.8467  0.4234  0.6935
Zr  0.8468  0.9234  0.6935
N  0.9999  0.2500  0.0000
N  0.0001  0.7500  0.0000


Entry from Alexandria: crystalline ZrTi2N4 at its relaxed geometry (GGA-PBE).

Properties
E in eV/atom: -9.68
Total magnetic moment in μB per formula unit: 0.000

a b c (Å): 2.9963 5.1394 10.0336
angles (deg): 90.00 90.00 106.95
Fractional coordinates of all 14 atoms:
N  0.5000  0.0000  0.5000
N  0.2323  0.4645  0.6182
N  0.7677  0.5355  0.1182
N  0.2323  0.4645  0.8818
N  0.5000  0.0000  0.0000
N  0.7677  0.5355  0.3818
N  0.0441  0.0881  0.2500
N  0.9559  0.9119  0.7500
Ti  0.1316  0.2632  0.0698
Ti  0.1316  0.2632  0.4302
Ti  0.8684  0.7368  0.9302
Ti  0.8684  0.7368  0.5698
Zr  0.3846  0.7693  0.2500
Zr  0.6154  0.2307  0.7500


Entry from Alexandria: crystalline ZrTiN2 at its relaxed geometry (GGA-PBE).

Properties
E in eV/atom: -9.34
Total magnetic moment in μB per formula unit: 0.000

a b c (Å): 6.2884 6.2884 6.2884
angles (deg): 30.90 30.90 30.90
Fractional coordinates of all 4 atoms:
Zr  0.5000  0.5000  0.5000
Ti  0.0000  0.0000  0.0000
N  0.8938  0.8938  0.8938
N  0.1062  0.1062  0.1062


Entry from Alexandria: crystalline Zr3TiN at its relaxed geometry (GGA-PBE).

Properties
E in eV/atom: -9.05
Total magnetic moment in μB per formula unit: 0.000

a b c (Å): 4.5126 4.5126 4.5126
angles (deg): 90.00 90.00 90.00
Fractional coordinates of all 5 atoms:
Ti  0.5000  0.5000  0.5000
Zr  0.0000  0.0000  0.5000
Zr  0.0000  0.5000  0.0000
Zr  0.5000  0.0000  0.0000
N  0.0000  0.0000  0.0000


Entry from Alexandria: crystalline ZrTiN2 at its relaxed geometry (GGA-PBE).

Properties
E in eV/atom: -9.92
Total magnetic moment in μB per formula unit: 0.000

a b c (Å): 3.1491 3.1491 5.4201
angles (deg): 73.12 73.12 60.07
Fractional coordinates of all 4 atoms:
Ti  0.0000  0.0000  0.0000
N  0.2561  0.2561  0.2314
N  0.7439  0.7439  0.7686
Zr  0.5000  0.5000  0.5000